Arrangement w

5
Lattice="4.540 0.000 0.000 0.000 4.540 0.000 0.000 0.000 4.540" Properties=species:S:1:pos:R:3 comment="PBE SrAs3H, relaxed" volume_a3_per_cell=93.6 dos_ef_per_ev_cell=2.5 pbc="T T T"
H 0.000 0.000 0.000
As 2.270 0.000 0.000
Sr 2.270 2.270 2.270
As 0.000 0.000 2.270
As 0.000 2.270 0.000



Arrangement x

5
Lattice="5.788 0.000 0.000 0.000 5.788 0.000 0.000 0.000 5.788" Properties=species:S:1:pos:R:3 comment="PBE SrAs3H, relaxed" volume_a3_per_cell=193.9 dos_ef_per_ev_cell=5.1 pbc="T T T"
As 0.000 2.894 0.000
As 2.894 0.000 0.000
Sr 0.000 0.000 0.000
As 0.000 0.000 2.894
H 2.894 2.894 2.894



The structure with the most favorable energy is arrangement w; the runner-up is 1.441 eV/atom above it.



Arrangement w

5
Lattice="-4.141 2.254 1.657 1.061 -1.474 4.656 2.589 4.209 0.742" Properties=species:S:1:pos:R:3 comment="PBE TaAs3H, relaxed" volume_a3_per_cell=124.8 dos_ef_per_ev_cell=4.1 pbc="T T T"
H -0.245 2.495 3.528
As 0.530 -0.737 2.328
Ta 0.000 0.000 0.000
As -2.070 1.127 0.829
As 1.294 2.105 0.371



Arrangement x

5
Lattice="-1.301 -3.372 2.182 3.430 0.260 2.447 -2.089 2.527 2.660" Properties=species:S:1:pos:R:3 comment="PBE TaAs3H, relaxed" volume_a3_per_cell=75.2 dos_ef_per_ev_cell=4.0 pbc="T T T"
As 1.715 0.130 1.224
Ta 0.020 -0.292 3.644
H 0.000 0.000 0.000
As -1.045 1.263 1.330
As -0.650 -1.686 1.091



The structure with the most favorable energy is arrangement x; the runner-up is 0.057 eV/atom above it.



Arrangement w

4
Lattice="0.000 3.146 3.146 3.146 0.000 3.146 3.146 3.146 0.000" Properties=species:S:1:pos:R:3 comment="PBE TaAs2H, relaxed" volume_a3_per_cell=62.3 dos_ef_per_ev_cell=1.4 pbc="T T T"
As 4.719 4.719 4.719
As 1.573 1.573 1.573
Ta 3.146 3.146 3.146
H 0.000 0.000 0.000



Arrangement x

8
Lattice="-2.745 -2.941 -4.481 4.622 -3.848 -0.306 -0.475 -5.258 -0.305" Properties=species:S:1:pos:R:3 comment="PBE TaAs2H, relaxed" volume_a3_per_cell=113.7 dos_ef_per_ev_cell=5.3 pbc="T T T"
As -1.010 -3.369 -2.512
Ta -1.141 -5.797 -3.590
H 0.938 -3.395 -2.393
H 2.543 -6.250 -1.502
As 0.763 -6.835 -2.051
As 2.180 -4.351 -1.230
Ta 0.000 0.000 0.000
As 0.871 -9.538 -4.390



The structure with the most favorable energy is arrangement x; the runner-up is 0.235 eV/atom above it.



Arrangement w

5
Lattice="-0.857 1.423 3.248 1.998 -2.567 1.652 2.930 2.167 -0.176" Properties=species:S:1:pos:R:3 comment="PBE TaAsH3, relaxed" volume_a3_per_cell=48.6 dos_ef_per_ev_cell=2.5 pbc="T T T"
H -0.429 0.712 1.624
As 2.035 0.511 2.362
Ta 0.000 0.000 0.000
H 0.999 -1.284 0.826
H 1.465 1.083 -0.088



Arrangement x

5
Lattice="3.570 0.000 0.000 0.000 3.570 0.000 0.000 0.000 3.570" Properties=species:S:1:pos:R:3 comment="PBE TaAsH3, relaxed" volume_a3_per_cell=45.5 dos_ef_per_ev_cell=3.0 pbc="T T T"
Ta 1.785 1.785 1.785
H 0.000 1.785 0.000
H 0.000 0.000 1.785
As 0.000 0.000 0.000
H 1.785 0.000 0.000



The structure with the most favorable energy is arrangement w; the runner-up is 0.675 eV/atom above it.



Arrangement w

12
Lattice="3.878 0.000 0.000 0.000 4.006 0.000 0.000 0.000 12.840" Properties=species:S:1:pos:R:3 comment="PBE TbAsH, relaxed" volume_a3_per_cell=199.5 dos_ef_per_ev_cell=3.8 pbc="T T T"
H 0.970 2.537 3.231
Tb 0.970 3.545 10.874
H 2.909 3.472 9.609
As 0.970 0.492 1.008
As 0.969 3.514 7.428
As 2.909 1.511 11.832
Tb 0.969 0.461 4.455
H 0.969 1.469 9.651
Tb 2.909 2.464 1.965
H 2.908 0.534 3.189
As 2.908 2.495 5.412
Tb 2.908 1.542 8.385



Arrangement x

6
Lattice="3.840 0.706 -0.140 2.904 5.601 -0.986 1.899 1.463 5.008" Properties=species:S:1:pos:R:3 comment="PBE TbAsH, relaxed" volume_a3_per_cell=102.6 dos_ef_per_ev_cell=0.8 pbc="T T T"
Tb 5.113 6.179 2.772
Tb 1.713 2.605 0.395
H 3.523 3.375 -0.565
H 7.142 6.115 3.592
As 3.698 3.052 2.590
As 6.967 6.437 0.437



The structure with the most favorable energy is arrangement x; the runner-up is 0.034 eV/atom above it.



Arrangement w

3
Lattice="-3.788 -1.511 -1.290 0.057 -2.493 2.753 -1.522 3.343 0.553" Properties=species:S:1:pos:R:3 comment="PBE TbAsH, relaxed" volume_a3_per_cell=51.1 dos_ef_per_ev_cell=1.2 pbc="T T T"
H -0.630 -0.251 -0.215
As -3.522 0.390 0.426
Tb -1.101 -0.800 1.804



Arrangement x

3
Lattice="-1.209 3.840 0.008 -3.822 -1.204 0.392 2.847 -1.221 3.330" Properties=species:S:1:pos:R:3 comment="PBE TbAsH, relaxed" volume_a3_per_cell=57.5 dos_ef_per_ev_cell=1.1 pbc="T T T"
H 0.177 0.052 1.888
As -2.186 1.415 3.712
Tb -2.459 1.335 0.800



The structure with the most favorable energy is arrangement w; the runner-up is 0.335 eV/atom above it.